DFT (GGA-PBE) results for an optimized crystal structure of CaTmSiHg.

Values from the calculation:
Volume ... 380.1 Å³ per cell
DOS at the Fermi energy ... 0.791 states/eV per atom
E ... -3.465 eV per atom

Lattice parameters (Å, degrees): 7.244 7.244 7.244 90.00 90.00 90.00
Space group F-43m (No. 216)
Inequivalent atoms, fractional coordinates:
1 Ca 0.000 0.000 0.000 (multiplicity 4)
2 Tm 0.000 0.000 0.500 (multiplicity 4)
3 Si 0.250 0.250 0.750 (multiplicity 4)
4 Hg 0.250 0.250 0.250 (multiplicity 4)


DFT (GGA-PBE) results for an optimized crystal structure of CaYSiHg.

Values from the calculation:
Volume ... 389.3 Å³ per cell
DOS at the Fermi energy ... 0.802 states/eV per atom
E ... -3.992 eV per atom

Lattice parameters (Å, degrees): 7.302 7.302 7.302 90.00 90.00 90.00
Space group F-43m (No. 216)
Inequivalent atoms, fractional coordinates:
1 Ca 0.000 0.000 0.000 (multiplicity 4)
2 Y 0.000 0.000 0.500 (multiplicity 4)
3 Si 0.250 0.250 0.250 (multiplicity 4)
4 Hg 0.250 0.250 0.750 (multiplicity 4)


DFT (GGA-PBE) results for an optimized crystal structure of Ca2ZnSiHg.

Values from the calculation:
Volume ... 164.2 Å³ per cell
DOS at the Fermi energy ... 0.483 states/eV per atom
E ... -1.974 eV per atom

Lattice parameters (Å, degrees): 5.870 5.870 4.766 90.00 90.00 90.00
Space group P4/mmm (No. 123)
Inequivalent atoms, fractional coordinates:
1 Ca 0.000 0.500 0.000 (multiplicity 2)
2 Zn 0.000 0.000 0.500 (multiplicity 1)
3 Si 0.500 0.500 0.500 (multiplicity 1)
4 Hg 0.500 0.500 0.000 (multiplicity 1)


DFT (GGA-PBE) results for an optimized crystal structure of Ca2Zn4Si3Hg.

Values from the calculation:
Volume ... 192.0 Å³ per cell
DOS at the Fermi energy ... 0.134 states/eV per atom
E ... -2.816 eV per atom

Lattice parameters (Å, degrees): 4.200 4.200 10.885 90.00 90.00 90.00
Space group P-4m2 (No. 115)
Inequivalent atoms, fractional coordinates:
1 Ca 0.000 0.500 0.241 (multiplicity 2)
2 Zn 0.000 0.000 0.000 (multiplicity 1)
3 Zn 0.000 0.500 0.648 (multiplicity 2)
4 Zn 0.500 0.500 0.000 (multiplicity 1)
5 Si 0.000 0.500 0.868 (multiplicity 2)
6 Si 0.500 0.500 0.500 (multiplicity 1)
7 Hg 0.000 0.000 0.500 (multiplicity 1)


DFT (GGA-PBE) results for an optimized crystal structure of CaZr2SiHg.

Values from the calculation:
Volume ... 131.5 Å³ per cell
DOS at the Fermi energy ... 1.464 states/eV per atom
E ... -4.742 eV per atom

Lattice parameters (Å, degrees): 5.090 5.090 5.075 90.00 90.00 90.00
Space group P4/mmm (No. 123)
Inequivalent atoms, fractional coordinates:
1 Ca 0.000 0.000 0.000 (multiplicity 1)
2 Zr 0.000 0.500 0.500 (multiplicity 2)
3 Si 0.500 0.500 0.500 (multiplicity 1)
4 Hg 0.500 0.500 0.000 (multiplicity 1)


DFT (GGA-PBE) results for an optimized crystal structure of CaSm2Hg6.

Values from the calculation:
Volume ... 228.0 Å³ per cell
DFT formation energy ... -427 meV per atom
DOS at the Fermi energy ... 0.703 states/eV per atom
E ... -1.899 eV per atom

Lattice parameters (Å, degrees): 8.6787 8.6787 3.4951 90.00 90.00 120.00
Space group P6/mmm (No. 191)
Inequivalent atoms, fractional coordinates:
1 Ca 0.0000 0.0000 0.0000 (multiplicity 1)
2 Sm 0.3333 0.6667 0.0000 (multiplicity 2)
3 Hg 0.0000 0.3325 0.5000 (multiplicity 6)


DFT (GGA-PBE) results for an optimized crystal structure of CaSm2Hg8.

Values from the calculation:
Energy above the most stable polymorph in this dataset ... 0 meV per atom
Volume ... 558.3 Å³ per cell
DFT formation energy ... -347 meV per atom
DOS at the Fermi energy ... 0.519 states/eV per atom
E ... -1.607 eV per atom

Lattice parameters (Å, degrees): 16.080 5.034 7.307 90.00 109.28 90.00
Space group C2/m (No. 12)
Inequivalent atoms, fractional coordinates:
1 Ca 0.000 0.000 0.000 (multiplicity 2)
2 Sm 0.214 0.500 0.658 (multiplicity 4)
3 Hg 0.027 0.500 0.729 (multiplicity 4)
4 Hg 0.096 0.000 0.456 (multiplicity 4)
5 Hg 0.150 0.500 0.181 (multiplicity 4)
6 Hg 0.171 0.000 0.899 (multiplicity 4)


DFT (GGA-PBE) results for an optimized crystal structure of Ca2SmHg4.

Values from the calculation:
Volume ... 417.8 Å³ per cell
DFT formation energy ... -387 meV per atom
DOS at the Fermi energy ... 1.027 states/eV per atom
E ... -1.806 eV per atom

Lattice parameters (Å, degrees): 7.384 7.384 7.664 90.00 90.00 90.00
Space group I4/mmm (No. 139)
Inequivalent atoms, fractional coordinates:
1 Ca 0.000 0.500 0.000 (multiplicity 4)
2 Sm 0.000 0.000 0.000 (multiplicity 2)
3 Hg 0.250 0.250 0.250 (multiplicity 8)


DFT (GGA-PBE) results for an optimized crystal structure of CaSmHg6.

Values from the calculation:
Energy above the most stable polymorph in this dataset ... 0 meV per atom
Volume ... 400.3 Å³ per cell
DFT formation energy ... -379 meV per atom
DOS at the Fermi energy ... 0.678 states/eV per atom
E ... -1.446 eV per atom

Lattice parameters (Å, degrees): 5.149 6.737 11.542 90.00 90.00 90.00
Space group Amm2 (No. 38)
Inequivalent atoms, fractional coordinates:
1 Ca 0.000 0.000 0.000 (multiplicity 2)
2 Sm 0.500 0.000 0.674 (multiplicity 2)
3 Hg 0.000 0.000 0.504 (multiplicity 2)
4 Hg 0.000 0.245 0.253 (multiplicity 4)
5 Hg 0.500 0.000 0.172 (multiplicity 2)
6 Hg 0.500 0.242 0.420 (multiplicity 4)


DFT (GGA-PBE) results for an optimized crystal structure of Ca4Sm9Hg11.

Values from the calculation:
Volume ... 1334.8 Å³ per cell
DFT formation energy ... -396 meV per atom
DOS at the Fermi energy ... 0.977 states/eV per atom
E ... -2.638 eV per atom

Lattice parameters (Å, degrees): 16.647 22.445 3.572 90.00 90.00 90.00
Space group Cmmm (No. 65)
Inequivalent atoms, fractional coordinates:
1 Ca 0.171 0.084 0.000 (multiplicity 8)
2 Sm 0.000 0.000 0.000 (multiplicity 2)
3 Sm 0.111 0.407 0.000 (multiplicity 8)
4 Sm 0.114 0.233 0.000 (multiplicity 8)
5 Hg 0.000 0.126 0.500 (multiplicity 4)
6 Hg 0.000 0.319 0.500 (multiplicity 4)
7 Hg 0.000 0.500 0.500 (multiplicity 2)
8 Hg 0.214 0.500 0.500 (multiplicity 4)
9 Hg 0.231 0.320 0.500 (multiplicity 8)


DFT (GGA-PBE) results for an optimized crystal structure of CaSmHg2.

Values from the calculation:
Energy above the most stable polymorph in this dataset ... 172 meV per atom
Volume ... 364.2 Å³ per cell
DFT formation energy ... -366 meV per atom
DOS at the Fermi energy ... 0.847 states/eV per atom
E ... -2.197 eV per atom

Lattice parameters (Å, degrees): 3.9895 3.9895 26.4234 90.00 90.00 120.00
Space group R3m (No. 160, hexagonal axes)
Inequivalent atoms, fractional coordinates:
1 Ca 0.0000 0.0000 0.0000 (multiplicity 3)
2 Sm 0.0000 0.0000 0.8334 (multiplicity 3)
3 Hg 0.0000 0.0000 0.4176 (multiplicity 3)
4 Hg 0.0000 0.0000 0.5828 (multiplicity 3)


DFT (GGA-PBE) results for an optimized crystal structure of Ca2SmHg7.

Values from the calculation:
Volume ... 273.4 Å³ per cell
DFT formation energy ... -323 meV per atom
DOS at the Fermi energy ... 0.561 states/eV per atom
E ... -1.407 eV per atom

Lattice parameters (Å, degrees): 5.0806 5.0806 12.2318 90.00 90.00 120.00
Space group P3m1 (No. 156)
Inequivalent atoms, fractional coordinates:
1 Ca 0.0000 0.0000 0.0000 (multiplicity 1)
2 Ca 0.3333 0.6667 0.6299 (multiplicity 1)
3 Sm 0.6667 0.3333 0.3883 (multiplicity 1)
4 Hg 0.0000 0.0000 0.2514 (multiplicity 1)
5 Hg 0.0000 0.0000 0.5032 (multiplicity 1)
6 Hg 0.0000 0.0000 0.7425 (multiplicity 1)
7 Hg 0.3333 0.6667 0.3081 (multiplicity 1)
8 Hg 0.3333 0.6667 0.9105 (multiplicity 1)
9 Hg 0.6667 0.3333 0.1161 (multiplicity 1)
10 Hg 0.6667 0.3333 0.7965 (multiplicity 1)


DFT (GGA-PBE) results for an optimized crystal structure of CaSm4Hg5.

Values from the calculation:
Volume ... 273.2 Å³ per cell
DFT formation energy ... -494 meV per atom
DOS at the Fermi energy ... 1.051 states/eV per atom
E ... -2.732 eV per atom

Lattice parameters (Å, degrees): 3.787 3.787 19.057 90.00 90.00 90.00
Space group P4/mmm (No. 123)
Inequivalent atoms, fractional coordinates:
1 Ca 0.000 0.000 0.000 (multiplicity 1)
2 Sm 0.000 0.000 0.201 (multiplicity 2)
3 Sm 0.000 0.000 0.400 (multiplicity 2)
4 Hg 0.500 0.500 0.103 (multiplicity 2)
5 Hg 0.500 0.500 0.301 (multiplicity 2)
6 Hg 0.500 0.500 0.500 (multiplicity 1)


DFT (GGA-PBE) results for an optimized crystal structure of Ca2SmHg6.

Values from the calculation:
Volume ... 229.9 Å³ per cell
DFT formation energy ... -436 meV per atom
DOS at the Fermi energy ... 0.479 states/eV per atom
E ... -1.607 eV per atom

Lattice parameters (Å, degrees): 8.6771 8.6771 3.5257 90.00 90.00 120.00
Space group P6/mmm (No. 191)
Inequivalent atoms, fractional coordinates:
1 Ca 0.3333 0.6667 0.0000 (multiplicity 2)
2 Sm 0.0000 0.0000 0.0000 (multiplicity 1)
3 Hg 0.0000 0.3343 0.5000 (multiplicity 6)


DFT (GGA-PBE) results for an optimized crystal structure of CaSm2Hg8.

Values from the calculation:
Energy above the most stable polymorph in this dataset ... 8 meV per atom
Volume ... 568.7 Å³ per cell
DFT formation energy ... -339 meV per atom
DOS at the Fermi energy ... 0.540 states/eV per atom
E ... -1.599 eV per atom

Lattice parameters (Å, degrees): 5.195 7.252 15.096 90.00 90.00 90.00
Space group Immm (No. 71)
Inequivalent atoms, fractional coordinates:
1 Ca 0.000 0.000 0.000 (multiplicity 2)
2 Sm 0.000 0.000 0.307 (multiplicity 4)
3 Hg 0.000 0.208 0.500 (multiplicity 4)
4 Hg 0.000 0.285 0.147 (multiplicity 8)
5 Hg 0.000 0.500 0.341 (multiplicity 4)


DFT (GGA-PBE) results for an optimized crystal structure of Ca3SmHg2.

Values from the calculation:
Volume ... 367.7 Å³ per cell
DFT formation energy ... -366 meV per atom
DOS at the Fermi energy ... 1.074 states/eV per atom
E ... -2.254 eV per atom

Lattice parameters (Å, degrees): 5.149 9.829 7.266 90.00 90.00 90.00
Space group Pmc2_1 (No. 26)
Inequivalent atoms, fractional coordinates:
1 Ca 0.000 0.067 0.000 (multiplicity 2)
2 Ca 0.000 0.317 0.373 (multiplicity 2)
3 Ca 0.500 0.183 0.690 (multiplicity 2)
4 Sm 0.500 0.440 0.059 (multiplicity 2)
5 Hg 0.000 0.370 0.804 (multiplicity 2)
6 Hg 0.500 0.140 0.256 (multiplicity 2)


DFT (GGA-PBE) results for an optimized crystal structure of CaSm2Hg3.

Values from the calculation:
Energy above the most stable polymorph in this dataset ... 0 meV per atom
Volume ... 325.8 Å³ per cell
DFT formation energy ... -518 meV per atom
DOS at the Fermi energy ... 0.964 states/eV per atom
E ... -2.576 eV per atom

Lattice parameters (Å, degrees): 5.3560 5.3560 13.1131 90.00 90.00 120.00
Space group P-3m1 (No. 164)
Inequivalent atoms, fractional coordinates:
1 Ca 0.3333 0.6667 0.1664 (multiplicity 2)
2 Sm 0.0000 0.0000 0.0000 (multiplicity 1)
3 Sm 0.0000 0.0000 0.5000 (multiplicity 1)
4 Sm 0.3333 0.6667 0.6704 (multiplicity 2)
5 Hg 0.0000 0.0000 0.2497 (multiplicity 2)
6 Hg 0.3333 0.6667 0.4176 (multiplicity 2)
7 Hg 0.3333 0.6667 0.9171 (multiplicity 2)


DFT (GGA-PBE) results for an optimized crystal structure of Ca2SmHg9.

Values from the calculation:
Volume ... 307.5 Å³ per cell
DFT formation energy ... -365 meV per atom
DOS at the Fermi energy ... 0.559 states/eV per atom
E ... -1.319 eV per atom

Lattice parameters (Å, degrees): 4.675 4.675 14.069 90.00 90.00 90.00
Space group P4/mmm (No. 123)
Inequivalent atoms, fractional coordinates:
1 Ca 0.000 0.000 0.165 (multiplicity 2)
2 Sm 0.000 0.000 0.500 (multiplicity 1)
3 Hg 0.000 0.500 0.000 (multiplicity 2)
4 Hg 0.000 0.500 0.335 (multiplicity 4)
5 Hg 0.500 0.500 0.165 (multiplicity 2)
6 Hg 0.500 0.500 0.500 (multiplicity 1)


DFT (GGA-PBE) results for an optimized crystal structure of CaSm3Hg2.

Values from the calculation:
Energy above the most stable polymorph in this dataset ... 0 meV per atom
Volume ... 357.7 Å³ per cell
DFT formation energy ... -350 meV per atom
DOS at the Fermi energy ... 0.970 states/eV per atom
E ... -3.144 eV per atom

Lattice parameters (Å, degrees): 5.260 9.483 7.171 90.00 90.00 90.00
Space group Pmc2_1 (No. 26)
Inequivalent atoms, fractional coordinates:
1 Ca 0.000 0.054 0.000 (multiplicity 2)
2 Sm 0.000 0.329 0.655 (multiplicity 2)
3 Sm 0.500 0.170 0.315 (multiplicity 2)
4 Sm 0.500 0.443 0.976 (multiplicity 2)
5 Hg 0.000 0.347 0.225 (multiplicity 2)
6 Hg 0.500 0.153 0.746 (multiplicity 2)


DFT (GGA-PBE) results for an optimized crystal structure of CaSmHg3.

Values from the calculation:
Energy above the most stable polymorph in this dataset ... 249 meV per atom
Volume ... 296.4 Å³ per cell
DFT formation energy ... -188 meV per atom
DOS at the Fermi energy ... 1.197 states/eV per atom
E ... -1.713 eV per atom

Lattice parameters (Å, degrees): 7.0163 7.0163 6.9520 90.00 90.00 120.00
Space group P6_3/mmc (No. 194)
Inequivalent atoms, fractional coordinates:
1 Ca 0.0000 0.0000 0.0000 (multiplicity 2)
2 Sm 0.3333 0.6667 0.2500 (multiplicity 2)
3 Hg 0.1971 0.3942 0.7500 (multiplicity 6)


DFT (GGA-PBE) results for an optimized crystal structure of CaSmHg2.

Values from the calculation:
Energy above the most stable polymorph in this dataset ... 0 meV per atom
Volume ... 432.9 Å³ per cell
DFT formation energy ... -538 meV per atom
DOS at the Fermi energy ... 0.953 states/eV per atom
E ... -2.369 eV per atom

Lattice parameters (Å, degrees): 7.565 7.565 7.565 90.00 90.00 90.00
Space group Fm-3m (No. 225)
Inequivalent atoms, fractional coordinates:
1 Ca 0.000 0.000 0.000 (multiplicity 4)
2 Sm 0.000 0.000 0.500 (multiplicity 4)
3 Hg 0.250 0.250 0.250 (multiplicity 8)


DFT (GGA-PBE) results for an optimized crystal structure of Ca2SmHg2.

Values from the calculation:
Volume ... 309.6 Å³ per cell
DFT formation energy ... -385 meV per atom
DOS at the Fermi energy ... 0.987 states/eV per atom
E ... -2.250 eV per atom

Lattice parameters (Å, degrees): 3.813 21.889 3.710 90.00 90.00 90.00
Space group Cmmm (No. 65)
Inequivalent atoms, fractional coordinates:
1 Ca 0.000 0.172 0.000 (multiplicity 4)
2 Sm 0.000 0.000 0.000 (multiplicity 2)
3 Hg 0.000 0.412 0.500 (multiplicity 4)


DFT (GGA-PBE) results for an optimized crystal structure of CaSmHg2.

Values from the calculation:
Energy above the most stable polymorph in this dataset ... 1 meV per atom
Volume ... 108.8 Å³ per cell
DFT formation energy ... -537 meV per atom
DOS at the Fermi energy ... 0.598 states/eV per atom
E ... -2.368 eV per atom

Lattice parameters (Å, degrees): 5.364 5.364 3.781 90.00 90.00 90.00
Space group P4/mmm (No. 123)
Inequivalent atoms, fractional coordinates:
1 Ca 0.000 0.000 0.000 (multiplicity 1)
2 Sm 0.500 0.500 0.000 (multiplicity 1)
3 Hg 0.000 0.500 0.500 (multiplicity 2)


DFT (GGA-PBE) results for an optimized crystal structure of Ca3Sm2Hg3.

Values from the calculation:
Volume ... 470.3 Å³ per cell
DFT formation energy ... -393 meV per atom
DOS at the Fermi energy ... 0.968 states/eV per atom
E ... -2.437 eV per atom

Lattice parameters (Å, degrees): 3.802 5.448 22.704 90.00 90.00 90.00
Space group Immm (No. 71)
Inequivalent atoms, fractional coordinates:
1 Ca 0.000 0.000 0.000 (multiplicity 2)
2 Ca 0.000 0.500 0.118 (multiplicity 4)
3 Sm 0.000 0.000 0.231 (multiplicity 4)
4 Hg 0.000 0.000 0.500 (multiplicity 2)
5 Hg 0.000 0.500 0.380 (multiplicity 4)